The following is a DFT calculation (GGA-PBEsol) of a relaxed structure of La2AsW.

Values from the calculation:
- Formation enthalpy at 0 K: 9 kJ/mol of atoms
- Space group: Cmmm (65)
- N(E_F): 8.80 states/eV/cell
- Uncorrected energy: -7.31 eV/atom

abc: 4.183 5.238 8.659
angles: 90.00 90.00 90.00
Sites, in units of the cell vectors:
La 0.000 0.000 0.246
La 0.000 0.000 0.754
La 0.500 0.500 0.246
La 0.500 0.500 0.754
As 0.000 0.500 0.000
As 0.500 0.000 0.000
W 0.000 0.500 0.500
W 0.500 0.000 0.500

The following is a DFT calculation (GGA-PBEsol) of a relaxed structure of La2AsW.

Values from the calculation:
- Formation enthalpy at 0 K: 17 kJ/mol of atoms
- Space group: I-4m2 (119)
- N(E_F): 12.04 states/eV/cell
- Uncorrected energy: -7.23 eV/atom

abc: 4.380 4.380 9.490
angles: 90.00 90.00 90.00
Sites, in units of the cell vectors:
La 0.000 0.000 0.000
La 0.000 0.500 0.250
La 0.500 0.000 0.750
La 0.500 0.500 0.500
As 0.000 0.500 0.750
As 0.500 0.000 0.250
W 0.000 0.000 0.500
W 0.500 0.500 0.000